{"formula": "Li2Ni3F8", "functional": "PBE with a Hubbard U", "state": "relaxed", "m_tot_mub_per_cell": 5.97, "final_energy_ev_per_atom": -4.435, "cell": [[5.0848, -3.0488, 0.0000], [5.0848, 3.0488, 0.0000], [-1.9444, 0.0000, 4.8543]], "species": ["Li", "Li", "Ni", "Ni", "Ni", "F", "F", "F", "F", "F", "F", "F", "F"], "fractional_positions": [[0.1785, 0.1785, 0.1387], [0.8215, 0.8215, 0.8613], [0.2397, 0.7603, 0.5000], [0.5000, 0.5000, 0.0000], [0.7603, 0.2397, 0.5000], [0.1162, 0.1162, 0.7415], [0.1499, 0.6306, 0.7477], [0.3694, 0.8501, 0.2523], [0.3853, 0.3853, 0.2563], [0.6147, 0.6147, 0.7437], [0.6306, 0.1499, 0.7477], [0.8501, 0.3694, 0.2523], [0.8838, 0.8838, 0.2585]]}